Entry 1:
First-principles (PBE) data for a relaxed structure of LiIn14Ag, as listed in Alexandria via LeMat-Bulk.

a b c (Å): 6.648 6.648 9.258
angles (deg): 90.00 90.00 90.00
Positions (direct):
Li (0.875, 0.875, 0.500)
In (0.875, 0.875, 0.000)
In (0.375, 0.375, 0.000)
In (0.875, 0.375, 0.500)
In (0.875, 0.375, 0.000)
In (0.375, 0.875, 0.500)
In (0.375, 0.875, 0.000)
In (0.624, 0.126, 0.262)
In (0.624, 0.126, 0.738)
In (0.126, 0.624, 0.262)
In (0.126, 0.624, 0.738)
In (0.624, 0.624, 0.262)
In (0.624, 0.624, 0.738)
In (0.126, 0.126, 0.262)
In (0.126, 0.126, 0.738)
Ag (0.375, 0.375, 0.500)

Calculated values
D(E_F) = 6.0 states/eV/cell
E = -43.142 eV for the cell shown
Space-group type = No. 123
Crystal system = tetragonal
Total moment = 0.000 μB/atom

Entry 2:
First-principles (PBE) data for a relaxed structure of Li2InAg2, as listed in Alexandria via LeMat-Bulk.

a b c (Å): 5.146 9.130 12.400
angles (deg): 18.99 78.02 73.63
Positions (direct):
Li (0.439, 0.814, 0.968)
Li (0.778, 0.314, 0.468)
Li (0.561, 0.186, 0.032)
Li (0.222, 0.686, 0.532)
In (0.181, 0.750, 0.250)
In (0.819, 0.250, 0.750)
Ag (0.365, 0.949, 0.650)
Ag (0.964, 0.551, 0.850)
Ag (0.635, 0.051, 0.350)
Ag (0.036, 0.449, 0.150)

Calculated values
D(E_F) = 2.6 states/eV/cell
E = -26.833 eV for the cell shown
Space-group type = No. 15
Crystal system = monoclinic
Relative energy among the computed polymorphs = 0 meV per atom
Total moment = 0.000 μB/atom